DFT (PBE) results for an optimized crystal structure of Pm2Ho8Th.

Output
Total energy in eV per atom: -4.680
Formation energy in eV per formula unit: 2.07
Symmetry: C2/m, No. 12

Cell lengths 5.564, 10.174, 10.174 Å; angles 39.25, 93.39, 93.39 degrees
Fractional positions:
Ho 0.273 0.610 0.132
Ho 0.273 0.132 0.610
Ho 0.727 0.868 0.390
Ho 0.232 0.548 0.548
Ho 0.225 0.183 0.183
Th 0.000 0.000 0.000
Ho 0.768 0.452 0.452
Pm 0.748 0.282 0.282
Ho 0.727 0.390 0.868
Ho 0.775 0.817 0.817
Pm 0.252 0.718 0.718